4
Lattice="0.0000 3.1023 3.1023 3.1023 0.0000 3.1023 3.1023 3.1023 0.0000" Properties=species:S:1:pos:R:3 comment="LiCoPbW, relaxed, DFT PBE" final_energy_ha_per_atom=-0.21498 sg="F-43m, No. 216" magnetic_moment_mub_per_atom=0.500 pbc="T T T"
Co 4.6534 4.6534 4.6534
W 3.1023 3.1023 3.1023
Li 1.5511 1.5511 1.5511
Pb 0.0000 0.0000 0.0000

=====

32
Lattice="-5.7557 1.2078 0.6750 -0.7768 -6.0508 4.2023 2.6157 6.7571 10.2130" Properties=species:S:1:pos:R:3 comment="SnPtSO, relaxed, DFT PBE" final_energy_ha_per_atom=-0.20174 sg="Pbca, No. 61" magnetic_moment_mub_per_atom=0.000 pbc="T T T"
Pt 0.8836 6.6030 10.6880
Pt -4.8004 -4.6889 4.4023
Pt -1.6552 -3.2100 2.6182
Pt 0.0171 3.1319 5.5298
Pt -2.2617 5.1241 12.4720
Pt -3.9339 -1.2178 9.5605
Pt -3.1282 1.6530 7.3138
Pt -0.7887 0.2611 7.7765
S -4.3488 1.0179 9.2094
S -3.6218 -2.7877 3.8643
S -3.0247 6.4604 10.7616
S -2.2977 2.6548 5.4164
S -1.6192 -0.7407 9.6739
S -0.2951 4.7018 11.2260
S 0.4319 0.8962 5.8809
S -0.8921 -4.5463 4.3287
Sn -0.0870 -3.2801 6.9878
Sn -1.1820 2.7989 9.0092
Sn -3.8298 5.1943 8.1025
Sn -2.6725 1.2984 2.7069
Sn -3.8922 3.0111 11.4766
Sn -0.0247 -1.0970 3.6136
Sn -1.2443 0.6157 12.3833
Sn -2.7349 -0.8847 6.0810
O -1.7317 4.8274 8.4293
O -2.0058 2.0973 10.9767
O -1.9111 -0.1832 4.1136
O -4.8886 -0.9508 6.0549
O 0.6976 0.1348 11.5828
O -4.6145 1.7793 3.5075
O -2.1852 -2.9133 6.6610
O 0.9718 2.8649 9.0353

=====

8
Lattice="-1.7784 -0.8309 4.0222 -4.5631 -3.3482 -2.7092 3.6295 -5.3505 0.4994" Properties=species:S:1:pos:R:3 comment="DyInPO, relaxed, DFT PBE" final_energy_ha_per_atom=-0.21085 sg="Pmc2_1, No. 26" magnetic_moment_mub_per_atom=0.001 pbc="T T T"
In -2.4828 -5.2223 0.3135
In 1.2510 -6.4894 1.7026
O 2.5555 -5.2537 0.0446
O -2.4759 -4.9386 -2.1150
Dy 1.3457 -3.4560 -0.1189
Dy -3.6986 -3.1505 -2.2862
P -0.9482 -7.3188 0.5589
P -0.9941 -3.3456 1.3594

=====

16
Lattice="6.4067 0.0000 0.0000 0.0000 7.6216 0.0000 0.0000 0.0000 6.4966" Properties=species:S:1:pos:R:3 comment="GeTePdO, relaxed, DFT PBE" final_energy_ha_per_atom=-0.17650 sg="P2_12_12_1, No. 19" pbc="T T T"
O 0.0396 5.8155 4.5998
O 3.1637 1.8060 1.3515
O 3.2430 5.6168 1.8968
O 6.3671 2.0048 5.1451
Te 3.2759 3.9566 4.6716
Te 0.0725 7.4758 1.8250
Te 3.1308 0.1458 5.0732
Te 6.3342 3.6650 1.4233
Ge 2.1994 5.6047 0.4233
Ge 1.0040 2.0169 3.6716
Ge 5.4027 5.8276 6.0732
Ge 4.2073 1.7939 2.8249
Pd 1.7047 5.7653 3.3394
Pd 4.9081 5.6671 3.1571
Pd 4.7020 1.9545 6.4054
Pd 1.4986 1.8563 0.0911

=====

9
Lattice="5.0365 -2.1050 0.0000 5.0365 2.1050 0.0000 -1.2498 0.0000 8.2272" Properties=species:S:1:pos:R:3 comment="La2SmGa2Ni4, relaxed, DFT PBE" final_energy_ha_per_atom=-0.19381 sg="C2/m, No. 12" magnetic_moment_mub_per_atom=0.000 pbc="T T T"
Ni 7.3229 0.0000 0.7036
Ni 0.0479 0.0000 5.2649
Ni 1.5002 0.0000 7.5235
Ni 8.7752 0.0000 2.9623
La 5.8074 0.0000 3.1006
La 3.0157 0.0000 5.1266
Sm 0.0000 0.0000 0.0000
Ga 2.9718 0.0000 1.7317
Ga 5.8513 0.0000 6.4955

=====

10
Lattice="-4.4597 0.3795 -0.2834 0.1284 -1.6144 -4.1822 -1.0111 -9.2421 3.5365" Properties=species:S:1:pos:R:3 comment="LaNiSbAsPd, relaxed, DFT PBE" final_energy_ha_per_atom=-0.21068 sg="P4/nmm, No. 129" magnetic_moment_mub_per_atom=0.000 pbc="T T T"
La -2.4966 -2.2484 0.7912
La -0.6802 -7.6112 0.5125
Ni -0.0655 -1.9925 -1.6375
Ni -3.1113 -7.8671 2.9412
Sb 0.0000 0.0000 0.0000
Sb -2.1656 -0.6174 -2.2328
Pd -0.5056 -4.6211 1.7683
Pd -2.6712 -5.2385 -0.4645
As -0.3030 -4.1634 -0.8068
As -2.8738 -5.6962 2.1105

=====

24
Lattice="11.2439 0.0000 0.0000 0.0000 4.1632 0.0000 0.0000 0.0000 12.0245" Properties=species:S:1:pos:R:3 comment="NaGdFeSe3, relaxed, DFT PBE" final_energy_ha_per_atom=-0.19185 sg="Pnma, No. 62" magnetic_moment_mub_per_atom=0.667 pbc="T T T"
Se 8.0472 2.0816 3.8008
Se 5.0414 0.0000 4.2341
Se 2.4252 2.0816 2.2115
Se 1.2088 0.0000 5.2700
Se 0.5805 2.0816 10.2464
Se 10.0351 2.0816 6.7546
Se 6.8308 0.0000 0.7423
Se 6.2025 2.0816 7.7904
Se 4.4131 2.0816 11.2823
Se 8.8187 0.0000 9.8131
Se 3.1968 0.0000 8.2237
Se 10.6634 0.0000 1.7781
Fe 8.4586 2.0816 8.5845
Fe 8.4073 0.0000 2.5722
Fe 2.8367 2.0816 9.4523
Fe 2.7853 0.0000 3.4400
Na 1.9693 0.0000 12.0053
Na 9.2746 2.0816 0.0192
Na 3.6527 2.0816 5.9930
Na 7.5913 0.0000 6.0315
Gd 5.4147 2.0816 2.2070
Gd 11.0367 2.0816 3.8053
Gd 5.8292 0.0000 9.8175
Gd 0.2072 0.0000 8.2193

=====

10
Lattice="-1.9420 0.3435 5.2876 0.4474 -3.0654 4.7171 7.7081 5.7665 -2.1726" Properties=species:S:1:pos:R:3 comment="HoLuSi2Os, relaxed, DFT PBE" final_energy_ha_per_atom=-0.25918 sg="C2/m, No. 12" magnetic_moment_mub_per_atom=0.006 pbc="T T T"
Si 2.1348 0.7860 4.2444
Si 4.0787 2.2585 3.5876
Si 6.7107 4.4435 1.5551
Si -0.4972 -1.3989 6.2769
Lu 4.8612 2.0418 8.1599
Lu 1.3523 1.0027 -0.3279
Os 0.5764 0.0020 2.4021
Os 5.6371 3.0425 5.4299
Ho 4.4314 3.0150 0.5441
Ho 1.7822 0.0295 7.2879